{
  "formula": "Rb2TlCd4Sn3",
  "functional": "PBE",
  "state": "relaxed",
  "n_ef_per_ev_fu": 5.79,
  "formation_enthalpy_0k_ev_per_atom": -0.118,
  "cell": [[5.0308, 0.0000, 0.0000], [0.0000, 5.0308, 0.0000], [0.0000, 0.0000, 12.4920]],
  "species": ["Rb", "Rb", "Tl", "Cd", "Cd", "Cd", "Cd", "Sn", "Sn", "Sn"],
  "frac_coords": [[0.0000, 0.5000, 0.2442], [0.5000, 0.0000, 0.7558], [0.0000, 0.0000, 0.5000], [0.0000, 0.0000, 0.0000], [0.0000, 0.5000, 0.6400], [0.5000, 0.0000, 0.3600], [0.5000, 0.5000, 0.0000], [0.0000, 0.5000, 0.8717], [0.5000, 0.0000, 0.1283], [0.5000, 0.5000, 0.5000]]
}